#1
Entry from Alexandria via LeMat-Bulk: crystalline BS3I at its relaxed geometry (PBE).

Calculated volume: 133 Å³/f.u.

```
BS3I
1.0
5.108 0.000 0.000
0.000 5.108 0.000
0.000 0.000 5.108
B S I
1 3 1
direct
0.000 0.000 0.000
0.000 0.500 0.500
0.500 0.000 0.500
0.500 0.500 0.000
0.500 0.500 0.500
```



#2
Entry from Alexandria via LeMat-Bulk: crystalline BS3I at its relaxed geometry (PBE).

Calculated volume: 145 Å³/f.u.

```
BS3I
1.0
9.838 0.000 0.000
0.000 10.379 0.000
-1.568 0.000 5.682
B S I
4 12 4
direct
0.202 0.241 0.274
0.202 0.259 0.774
0.798 0.741 0.226
0.798 0.759 0.726
0.090 0.202 0.476
0.090 0.298 0.976
0.317 0.088 0.224
0.317 0.412 0.724
0.358 0.143 0.916
0.358 0.357 0.416
0.642 0.643 0.584
0.642 0.857 0.084
0.683 0.588 0.276
0.683 0.912 0.776
0.910 0.702 0.024
0.910 0.798 0.524
0.152 0.606 0.650
0.152 0.894 0.150
0.848 0.106 0.850
0.848 0.394 0.350
```



#3
Entry from Alexandria via LeMat-Bulk: crystalline BS3I at its relaxed geometry (PBE).

Calculated volume: 82 Å³/f.u.

```
BS3I
1.0
4.349 0.000 0.000
0.000 4.349 0.000
0.000 0.000 4.349
B S I
1 3 1
direct
0.000 0.000 0.000
0.000 0.000 0.500
0.000 0.500 0.000
0.500 0.000 0.000
0.500 0.500 0.500
```



Going by the energies, #2 is most stable and the next is 1042 meV/atom up.



#1
Entry from Alexandria via LeMat-Bulk: crystalline B2SI at its relaxed geometry (PBE).

Calculated volume: 61 Å³/f.u.

```
B2SI
1.0
-2.842 2.842 3.754
2.842 -2.842 3.754
2.842 2.842 -3.754
B S I
4 2 2
direct
0.046 0.625 0.921
0.375 0.296 0.421
0.704 0.125 0.079
0.875 0.954 0.579
0.000 0.000 0.000
0.750 0.250 0.500
0.250 0.750 0.500
0.500 0.500 0.000
```



#2
Entry from Alexandria via LeMat-Bulk: crystalline B2SI at its relaxed geometry (PBE).

Calculated volume: 60 Å³/f.u.

```
B2SI
1.0
0.000 3.109 3.109
3.109 0.000 3.109
3.109 3.109 0.000
B S I
2 1 1
direct
0.250 0.250 0.250
0.750 0.750 0.750
0.000 0.000 0.000
0.500 0.500 0.500
```



Going by the energies, #1 is most stable and the next is 883 meV/atom up.



#1
Entry from Alexandria via LeMat-Bulk: crystalline BSb3I at its relaxed geometry (PBE).

Calculated volume: 126 Å³/f.u.

```
BSb3I
1.0
5.015 0.000 0.000
0.000 5.015 0.000
0.000 0.000 5.015
B Sb I
1 3 1
direct
0.000 0.000 0.000
0.000 0.000 0.500
0.000 0.500 0.000
0.500 0.000 0.000
0.500 0.500 0.500
```



#2
Entry from Alexandria via LeMat-Bulk: crystalline BSb3I at its relaxed geometry (PBE).

Calculated volume: 195 Å³/f.u.

```
BSb3I
1.0
5.799 0.000 0.000
0.000 5.799 0.000
0.000 0.000 5.799
B Sb I
1 3 1
direct
0.000 0.000 0.000
0.000 0.500 0.500
0.500 0.000 0.500
0.500 0.500 0.000
0.500 0.500 0.500
```



Going by the energies, #1 is most stable and the next is 1240 meV/atom up.



#1
Entry from Alexandria via LeMat-Bulk: crystalline BSbI2 at its relaxed geometry (PBE).

Calculated volume: 108 Å³/f.u.

```
BSbI2
1.0
0.000 3.780 3.780
3.780 0.000 3.780
3.780 3.780 0.000
B Sb I
1 1 2
direct
0.000 0.000 0.000
0.500 0.500 0.500
0.250 0.250 0.250
0.750 0.750 0.750
```



#2
Entry from Alexandria via LeMat-Bulk: crystalline BSbI2 at its relaxed geometry (PBE).

Calculated volume: 113 Å³/f.u.

```
BSbI2
1.0
-3.930 3.930 3.662
3.930 -3.930 3.662
3.930 3.930 -3.662
B Sb I
2 2 4
direct
0.000 0.000 0.000
0.750 0.250 0.500
0.250 0.750 0.500
0.500 0.500 0.000
0.063 0.625 0.938
0.375 0.313 0.438
0.687 0.125 0.062
0.875 0.937 0.562
```



Going by the energies, #2 is most stable and the next is 126 meV/atom up.



#1
Entry from Alexandria via LeMat-Bulk: crystalline BSbI3 at its relaxed geometry (PBE).

Calculated volume: 221 Å³/f.u.

```
BSbI3
1.0
6.043 0.000 0.000
0.000 6.043 0.000
0.000 0.000 6.043
B Sb I
1 1 3
direct
0.000 0.000 0.000
0.500 0.500 0.500
0.000 0.500 0.500
0.500 0.000 0.500
0.500 0.500 0.000
```



#2
Entry from Alexandria via LeMat-Bulk: crystalline BSbI3 at its relaxed geometry (PBE).

Calculated volume: 137 Å³/f.u.

```
BSbI3
1.0
5.159 0.000 0.000
0.000 5.159 0.000
0.000 0.000 5.159
B Sb I
1 1 3
direct
0.000 0.000 0.000
0.500 0.500 0.500
0.000 0.000 0.500
0.000 0.500 0.000
0.500 0.000 0.000
```



Going by the energies, #2 is most stable and the next is 208 meV/atom up.



#1
Entry from Alexandria via LeMat-Bulk: crystalline SnBSb2I at its relaxed geometry (PBE).

Calculated volume: 198 Å³/f.u.

```
SnBSb2I
1.0
5.720 0.000 0.000
0.000 5.720 0.000
0.000 0.000 6.052
Sn B Sb I
1 1 2 1
direct
0.000 0.000 0.000
0.500 0.500 0.500
0.000 0.500 0.000
0.500 0.000 0.000
0.000 0.000 0.500
```



#2
Entry from Alexandria via LeMat-Bulk: crystalline SnBSb2I at its relaxed geometry (PBE).

Calculated volume: 125 Å³/f.u.

```
SnBSb2I
1.0
5.011 0.000 0.000
0.000 5.011 0.000
0.000 0.000 4.967
Sn B Sb I
1 1 2 1
direct
0.000 0.000 0.000
0.500 0.500 0.500
0.000 0.500 0.500
0.500 0.000 0.500
0.500 0.500 0.000
```



Going by the energies, #2 is most stable and the next is 814 meV/atom up.